Hf2ZnNi4, relaxed, DFT GGA-PBE; crystal system = tetragonal; SG = I4/mmm; polymorph energy (0 for the lowest one) = 41.4 kJ/mol of atoms; total magnetization = 0.0 μB/cell
1.0
4.264 0.000 0.000
0.000 4.264 0.000
2.132 2.132 6.445
Ni Hf Zn
4 2 1
Direct
0.820 0.820 0.360 Ni
0.500 0.000 0.000 Ni
0.180 0.180 0.640 Ni
0.000 0.500 0.000 Ni
0.632 0.632 0.737 Hf
0.368 0.368 0.263 Hf
0.000 0.000 0.000 Zn


Hf11Zn9Ni4, relaxed, DFT GGA-PBE; crystal system = orthorhombic; SG = Cmmm; uncorrected energy = -151.6 eV per cell; total magnetization = 0.0 μB/cell
1.0
3.281 0.000 0.000
0.000 10.787 -4.588
0.000 0.020 11.722
Zn Hf Ni
9 11 4
Direct
0.500 0.500 0.500 Zn
0.500 0.842 0.367 Zn
0.500 0.071 0.213 Zn
0.500 0.213 0.071 Zn
0.500 0.633 0.158 Zn
0.500 0.787 0.929 Zn
0.500 0.158 0.633 Zn
0.500 0.929 0.787 Zn
0.500 0.367 0.842 Zn
0.000 0.632 0.368 Hf
0.000 0.302 0.302 Hf
0.000 0.368 0.632 Hf
0.000 0.000 0.000 Hf
0.000 0.070 0.411 Hf
0.000 0.589 0.930 Hf
0.000 0.411 0.070 Hf
0.000 0.163 0.837 Hf
0.000 0.930 0.589 Hf
0.000 0.698 0.698 Hf
0.000 0.837 0.163 Hf
0.500 0.551 0.752 Ni
0.500 0.449 0.248 Ni
0.500 0.248 0.449 Ni
0.500 0.752 0.551 Ni


Hf2Zr2ZnNi4, relaxed, DFT GGA-PBE; crystal system = tetragonal; SG = I4/mmm; uncorrected energy = -61.5 eV per cell; total magnetization = 0.0 μB/cell
1.0
-2.819 -0.026 -5.283
-1.119 -4.346 3.963
-1.381 4.177 4.062
Zn Hf Ni Zr
1 2 4 2
Direct
0.000 0.000 0.000 Zn
0.500 0.250 0.750 Hf
0.500 0.750 0.250 Hf
0.000 0.728 0.272 Ni
0.000 0.272 0.728 Ni
0.457 0.728 0.728 Ni
0.543 0.272 0.272 Ni
0.000 0.307 0.307 Zr
0.000 0.693 0.693 Zr


HfZrZnNi, relaxed, DFT GGA-PBE; crystal system = cubic; SG = F-43m; uncorrected energy = -26.5 eV per cell; total magnetization = 0.6 μB/cell
1.0
4.620 0.000 0.000
2.310 4.001 0.000
2.310 1.334 3.772
Ni Zn Zr Hf
1 1 1 1
Direct
0.750 0.750 0.750 Ni
0.250 0.250 0.250 Zn
0.500 0.500 0.500 Zr
0.000 0.000 0.000 Hf